<i>
Below is crystalline MgGaBr3 at its relaxed geometry, with properties calculated at the PBE-GGA level.

The structure in CIF format:
```
data_MgGaBr3
_space_group_name_H-M_alt 'P 1'
_space_group_IT_number 1
_cell_length_a 9.859
_cell_length_b 3.964
_cell_length_c 15.381
_cell_angle_alpha 90.00
_cell_angle_beta 90.00
_cell_angle_gamma 90.00
loop_
_space_group_symop_operation_xyz
'x,y,z'
loop_
_atom_site_label
_atom_site_type_symbol
_atom_site_fract_x
_atom_site_fract_y
_atom_site_fract_z
_atom_site_occupancy
Mg1 Mg 0.156 0.250 0.052 1
Mg2 Mg 0.344 0.750 0.552 1
Mg3 Mg 0.656 0.250 0.448 1
Mg4 Mg 0.844 0.750 0.948 1
Ga1 Ga 0.027 0.250 0.667 1
Ga2 Ga 0.473 0.750 0.167 1
Ga3 Ga 0.527 0.250 0.833 1
Ga4 Ga 0.973 0.750 0.333 1
Br1 Br 0.019 0.250 0.899 1
Br2 Br 0.179 0.250 0.497 1
Br3 Br 0.230 0.750 0.708 1
Br4 Br 0.270 0.250 0.208 1
Br5 Br 0.321 0.750 0.997 1
Br6 Br 0.481 0.750 0.399 1
Br7 Br 0.519 0.250 0.601 1
Br8 Br 0.679 0.250 0.003 1
Br9 Br 0.730 0.750 0.792 1
Br10 Br 0.770 0.250 0.292 1
Br11 Br 0.821 0.750 0.503 1
Br12 Br 0.981 0.750 0.101 1
```

- Symmetry: No. 62
- Volume: 601.2 Å³/cell
- Theoretical density: 3.687 g/cm3


<ii>
Below is crystalline MgGaBr3 at its relaxed geometry, with properties calculated at the PBE-GGA level.

The structure in CIF format:
```
data_MgGaBr3
_space_group_name_H-M_alt 'P 1'
_space_group_IT_number 1
_cell_length_a 5.294
_cell_length_b 5.294
_cell_length_c 5.294
_cell_angle_alpha 90.00
_cell_angle_beta 90.00
_cell_angle_gamma 90.00
loop_
_space_group_symop_operation_xyz
'x,y,z'
loop_
_atom_site_label
_atom_site_type_symbol
_atom_site_fract_x
_atom_site_fract_y
_atom_site_fract_z
_atom_site_occupancy
Mg1 Mg 0.000 0.000 0.000 1
Ga1 Ga 0.500 0.500 0.500 1
Br1 Br 0.000 0.000 0.500 1
Br2 Br 0.000 0.500 0.000 1
Br3 Br 0.500 0.000 0.000 1
```

- Symmetry: No. 221
- Volume: 148.4 Å³/cell
- Theoretical density: 3.735 g/cm3


Stability check: which of them is least stable? <ii>.


<i>
Below is crystalline MgGa3Br at its relaxed geometry, with properties calculated at the PBE-GGA level.

The structure in CIF format:
```
data_MgGa3Br
_space_group_name_H-M_alt 'P 1'
_space_group_IT_number 1
_cell_length_a 5.259
_cell_length_b 5.259
_cell_length_c 5.259
_cell_angle_alpha 90.00
_cell_angle_beta 90.00
_cell_angle_gamma 90.00
loop_
_space_group_symop_operation_xyz
'x,y,z'
loop_
_atom_site_label
_atom_site_type_symbol
_atom_site_fract_x
_atom_site_fract_y
_atom_site_fract_z
_atom_site_occupancy
Mg1 Mg 0.000 0.000 0.000 1
Ga1 Ga 0.000 0.000 0.500 1
Ga2 Ga 0.000 0.500 0.000 1
Ga3 Ga 0.500 0.000 0.000 1
Br1 Br 0.500 0.500 0.500 1
```

- Symmetry: No. 221
- Volume: 145.5 Å³/cell
- Theoretical density: 3.577 g/cm3


<ii>
Below is crystalline MgGa3Br at its relaxed geometry, with properties calculated at the PBE-GGA level.

The structure in CIF format:
```
data_MgGa3Br
_space_group_name_H-M_alt 'P 1'
_space_group_IT_number 1
_cell_length_a 5.532
_cell_length_b 5.532
_cell_length_c 5.532
_cell_angle_alpha 90.00
_cell_angle_beta 90.00
_cell_angle_gamma 90.00
loop_
_space_group_symop_operation_xyz
'x,y,z'
loop_
_atom_site_label
_atom_site_type_symbol
_atom_site_fract_x
_atom_site_fract_y
_atom_site_fract_z
_atom_site_occupancy
Mg1 Mg 0.000 0.000 0.000 1
Ga1 Ga 0.000 0.500 0.500 1
Ga2 Ga 0.500 0.000 0.500 1
Ga3 Ga 0.500 0.500 0.000 1
Br1 Br 0.500 0.500 0.500 1
```

- Symmetry: No. 221
- Volume: 169.3 Å³/cell
- Theoretical density: 3.074 g/cm3


Stability check: which of them is least stable? <ii>.